Entry 1:
DyScBe2 | PBE | optimized geometry

Summary:
Energy relative to the elements, eV/atom: 0.047
M_tot, μB/atom: 0.0000

Lattice parameters (Å, degrees): 6.595 6.595 6.595 90.00 90.00 90.00
Space group Fm-3m (No. 225)
One atom of each set of equivalent atoms:
Dy 0.000 0.000 0.000 [4 per cell]
Sc 0.000 0.000 0.500 [4 per cell]
Be 0.250 0.250 0.250 [8 per cell]

***

Entry 2:
DyScBe4 | PBE | optimized geometry

Summary:
Energy relative to the elements, eV/atom: 0.013
M_tot, μB/atom: 0.0000

Lattice parameters (Å, degrees): 6.939 6.939 6.939 90.00 90.00 90.00
Space group F-43m (No. 216)
One atom of each set of equivalent atoms:
Dy 0.000 0.000 0.000 [4 per cell]
Sc 0.250 0.250 0.250 [4 per cell]
Be 0.124 0.124 0.624 [16 per cell]

***

Entry 3:
DyScBeZn | PBE | optimized geometry

Summary:
Energy relative to the elements, eV/atom: -0.135
M_tot, μB/atom: 0.0000

Lattice parameters (Å, degrees): 6.774 6.774 6.774 90.00 90.00 90.00
Space group F-43m (No. 216)
One atom of each set of equivalent atoms:
Dy 0.000 0.000 0.000 [4 per cell]
Sc 0.000 0.000 0.500 [4 per cell]
Be 0.250 0.250 0.750 [4 per cell]
Zn 0.250 0.250 0.250 [4 per cell]

***

Entry 4:
Dy5BeSe4 | PBE | optimized geometry

Summary:
M_tot, μB/atom: 0.0000
VASP energy, eV/cell: -110.0

Lattice parameters (Å, degrees): 9.106 9.106 5.742 90.00 90.00 90.00
Space group I4/m (No. 87)
One atom of each set of equivalent atoms:
Dy 0.000 0.000 0.000 [2 per cell]
Dy 0.096 0.715 0.500 [8 per cell]
Be 0.000 0.000 0.500 [2 per cell]
Se 0.094 0.696 0.000 [8 per cell]

***

Entry 5:
Dy3BeSe6 | PBE | optimized geometry

Summary:
M_tot, μB/atom: 0.0000
VASP energy, eV/cell: -213.3

Lattice parameters (Å, degrees): 11.433 14.152 6.278 90.00 90.00 90.00
Space group Cmc2_1 (No. 36)
One atom of each set of equivalent atoms:
Dy 0.000 0.125 0.000 [4 per cell]
Dy 0.172 0.393 0.922 [8 per cell]
Be 0.000 0.302 0.362 [4 per cell]
Se 0.000 0.282 0.712 [4 per cell]
Se 0.000 0.453 0.243 [4 per cell]
Se 0.159 0.014 0.703 [8 per cell]
Se 0.163 0.240 0.220 [8 per cell]

***

Entry 6:
Dy2BeSe | PBE | optimized geometry

Summary:
M_tot, μB/atom: 0.0000
VASP energy, eV/cell: -49.6

Lattice parameters (Å, degrees): 3.7661 3.7661 27.8707 90.00 90.00 120.00
Space group R-3m (No. 166, hexagonal axes)
One atom of each set of equivalent atoms:
Dy 0.0000 0.0000 0.1028 [6 per cell]
Be 0.0000 0.0000 0.0000 [3 per cell]
Se 0.0000 0.0000 0.5000 [3 per cell]

***

Entry 7:
Dy6BeSe4 | PBE | optimized geometry

Summary:
M_tot, μB/atom: 0.0000
VASP energy, eV/cell: -337.7

Lattice parameters (Å, degrees): 11.4874 11.4874 13.7476 90.00 90.00 120.00
Space group R-3c (No. 167, hexagonal axes)
One atom of each set of equivalent atoms:
Dy 0.0389 0.2000 0.3924 [36 per cell]
Be 0.0000 0.0000 0.0000 [6 per cell]
Se 0.0000 0.0000 0.2500 [6 per cell]
Se 0.0000 0.3778 0.2500 [18 per cell]

***

Entry 8:
Dy6BeSe5 | PBE | optimized geometry

Summary:
M_tot, μB/atom: 0.0000
VASP energy, eV/cell: -133.5

Lattice parameters (Å, degrees): 7.084 12.224 7.046 90.00 109.51 90.00
Space group C2/m (No. 12)
One atom of each set of equivalent atoms:
Dy 0.233 0.000 0.261 [4 per cell]
Dy 0.235 0.157 0.736 [8 per cell]
Be 0.000 0.000 0.500 [2 per cell]
Se 0.000 0.174 0.000 [4 per cell]
Se 0.000 0.335 0.500 [4 per cell]
Se 0.000 0.500 0.000 [2 per cell]